Computed, not measured: Fe2CoOs after structural relaxation at the PBE level of DFT.

Cell: 3.9223 2.5519 9.5078 Å, 90.00 90.00 90.00°
Space group Amm2 (No. 38)
Inequivalent atoms, fractional coordinates:
Fe (0.0000, 0.0000, 0.0000) x2
Fe (0.5000, 0.0000, 0.3857) x2
Co (0.0000, 0.0000, 0.2567) x2
Os (0.5000, 0.0000, 0.6435) x2

Values from the calculation:
calculated formation energy: 0.179 eV per atom
DOS at the Fermi energy: 1.4495 states/eV/atom



Computed, not measured: TcIr12Ru3 after structural relaxation at the PBE level of DFT.

Cell: 3.8604 3.8604 15.4422 Å, 90.00 90.00 90.00°
Space group P4/mmm (No. 123)
Inequivalent atoms, fractional coordinates:
Tc (0.0000, 0.0000, 0.0000) x1
Ir (0.0000, 0.5000, 0.1244) x4
Ir (0.0000, 0.5000, 0.3749) x4
Ir (0.5000, 0.5000, 0.0000) x1
Ir (0.5000, 0.5000, 0.2497) x2
Ir (0.5000, 0.5000, 0.5000) x1
Ru (0.0000, 0.0000, 0.2522) x2
Ru (0.0000, 0.0000, 0.5000) x1

Values from the calculation:
calculated formation energy: -0.056 eV per atom
DOS at the Fermi energy: 1.0711 states/eV/atom



Computed, not measured: CsRbTe3 after structural relaxation at the PBE level of DFT.

Cell: 6.7497 6.7497 6.7497 Å, 90.00 90.00 90.00°
Space group Pm-3m (No. 221)
Inequivalent atoms, fractional coordinates:
Cs (0.0000, 0.0000, 0.0000) x1
Rb (0.5000, 0.5000, 0.5000) x1
Te (0.0000, 0.5000, 0.5000) x3

Values from the calculation:
formation energy without anion corrections: 0.51 eV per formula unit
DOS at the Fermi energy: 1.8905 states/eV/atom
relative energy among the computed polymorphs: 803 meV/atom



Computed, not measured: AcAuO3 after structural relaxation at the PBE level of DFT.

Cell: 3.7701 6.4465 7.0126 Å, 90.00 101.18 90.00°
Space group P2_1/m (No. 11)
Inequivalent atoms, fractional coordinates:
Ac (0.0858, 0.2500, 0.3326) x2
Au (0.4707, 0.7500, 0.1464) x2
O (0.3091, 0.7500, 0.4135) x2
O (0.4936, 0.5607, 0.8296) x4

Values from the calculation:
formation energy without anion corrections: -7.55 eV per formula unit
DOS at the Fermi energy: 0.2334 states/eV/atom



Computed, not measured: Er2Fe12P7 after structural relaxation at the PBE level of DFT.

Cell: 8.9402 8.9402 3.6289 Å, 90.00 90.00 120.00°
Space group P-6 (No. 174)
Inequivalent atoms, fractional coordinates:
Er (0.0000, 0.0000, 0.0000) x1
Er (0.3333, 0.6667, 0.5000) x1
Fe (0.0509, 0.2851, 0.5000) x3
Fe (0.0938, 0.7047, 0.0000) x3
Fe (0.3914, 0.1769, 0.0000) x3
Fe (0.5468, 0.4286, 0.5000) x3
P (0.0785, 0.4483, 0.0000) x3
P (0.2644, 0.2204, 0.5000) x3
P (0.6667, 0.3333, 0.0000) x1

Values from the calculation:
calculated formation energy: -0.724 eV per atom
DOS at the Fermi energy: 0.9524 states/eV/atom



Computed, not measured: Ba4InAgI2 after structural relaxation at the PBE level of DFT.

Cell: 8.5382 4.7837 9.4162 Å, 90.00 106.81 90.00°
Space group P2/m (No. 10)
Inequivalent atoms, fractional coordinates:
Ba (0.2417, 0.0000, 0.2209) x2
Ba (0.2522, 0.5000, 0.7707) x2
In (0.5000, 0.0000, 0.0000) x1
Ag (0.0000, 0.5000, 0.0000) x1
I (0.0000, 0.0000, 0.5000) x1
I (0.5000, 0.5000, 0.5000) x1

Values from the calculation:
formation energy without anion corrections: -6.49 eV per formula unit
DOS at the Fermi energy: 0.5979 states/eV/atom



Computed, not measured: Th2ZnNi6 after structural relaxation at the PBE level of DFT.

Cell: 5.3233 5.3233 5.7535 Å, 90.00 90.00 120.00°
Space group P-3m1 (No. 164)
Inequivalent atoms, fractional coordinates:
Th (0.3333, 0.6667, 0.2008) x2
Zn (0.0000, 0.0000, 0.0000) x1
Ni (0.1719, 0.3437, 0.6723) x6

Values from the calculation:
calculated formation energy: -0.393 eV per atom
DOS at the Fermi energy: 0.4275 states/eV/atom



Computed, not measured: ScTi2As2 after structural relaxation at the PBE level of DFT.

Cell: 8.9160 9.2872 9.8180 Å, 90.00 90.00 90.00°
Space group Fddd (No. 70, origin choice 2)
Inequivalent atoms, fractional coordinates:
Sc (0.1250, 0.1250, 0.1250) x8
Ti (0.1250, 0.2650, 0.6250) x16
As (0.1250, 0.1250, 0.3953) x16

Values from the calculation:
calculated formation energy: -0.670 eV per atom
DOS at the Fermi energy: 0.7612 states/eV/atom
relative energy among the computed polymorphs: 233 meV/atom



Question: Which of these has the lowest DOS at the Fermi energy?
Answer: AcAuO3